The following is a PBE calculation of crystalline Co2BiPC at its relaxed geometry, from the Alexandria database.

Results
Energy   -3.7073 eV/atom
Formation enthalpy at 0 K   14.190 eV per formula unit

Unit cell a=4.855 b=4.855 c=5.289 alpha=90.00 beta=90.00 gamma=90.00
Element x y z (fractional)
Co (0.000, 0.500, 0.000)
Co (0.500, 0.000, 0.000)
Bi (0.000, 0.000, 0.000)
P (0.000, 0.000, 0.500)
C (0.500, 0.500, 0.500)



The following is a PBE calculation of crystalline GaSbAu3 at its relaxed geometry, from the Alexandria database.

Results
Energy above the most stable polymorph in this dataset   0 kJ/mol of formula units
Energy   -3.4179 eV/atom
ΔE_f (raw)   -0.02 eV/atom

Unit cell a=4.850 b=4.375 c=11.139 alpha=90.00 beta=100.11 gamma=90.00
Element x y z (fractional)
Ga (0.100, 0.250, 0.397)
Ga (0.900, 0.750, 0.603)
Sb (0.425, 0.750, 0.144)
Sb (0.575, 0.250, 0.856)
Au (0.027, 0.250, 0.727)
Au (0.167, 0.250, 0.041)
Au (0.474, 0.250, 0.588)
Au (0.526, 0.750, 0.412)
Au (0.833, 0.750, 0.959)
Au (0.973, 0.750, 0.273)



The following is a PBE calculation of crystalline CaHf2InCo at its relaxed geometry, from the Alexandria database.

Results
Energy   -5.2531 eV/atom
Formation enthalpy at 0 K   5.487 eV per formula unit

Unit cell a=5.354 b=5.354 c=4.763 alpha=90.00 beta=90.00 gamma=90.00
Element x y z (fractional)
Ca (0.000, 0.000, 0.000)
Hf (0.000, 0.500, 0.500)
Hf (0.500, 0.000, 0.500)
In (0.500, 0.500, 0.500)
Co (0.500, 0.500, 0.000)



The following is a PBE calculation of crystalline CaBe2CrCl at its relaxed geometry, from the Alexandria database.

Results
Energy   -3.1334 eV/atom
ΔE_f (raw)   1.05 eV/atom

Unit cell a=4.504 b=4.504 c=4.232 alpha=90.00 beta=90.00 gamma=90.00
Element x y z (fractional)
Ca (0.000, 0.000, 0.000)
Be (0.000, 0.500, 0.500)
Be (0.500, 0.000, 0.500)
Cr (0.500, 0.500, 0.000)
Cl (0.500, 0.500, 0.500)



The following is a PBE calculation of crystalline PrSm2ErMg at its relaxed geometry, from the Alexandria database.

Results
Energy   -4.0563 eV/atom
Formation enthalpy at 0 K   0.094 eV per formula unit

Unit cell a=6.229 b=5.672 c=9.466 alpha=90.00 beta=108.67 gamma=90.00
Element x y z (fractional)
Pr (0.036, 0.250, 0.388)
Pr (0.964, 0.750, 0.612)
Sm (0.376, 0.750, 0.392)
Sm (0.452, 0.250, 0.199)
Sm (0.548, 0.750, 0.801)
Sm (0.624, 0.250, 0.608)
Er (0.160, 0.750, 0.998)
Er (0.840, 0.250, 0.002)
Mg (0.229, 0.250, 0.810)
Mg (0.771, 0.750, 0.190)



The following is a PBE calculation of crystalline LiYTl2Tc at its relaxed geometry, from the Alexandria database.

Results
Energy   -3.6729 eV/atom
Formation enthalpy at 0 K   5.112 eV per formula unit

Unit cell a=5.919 b=5.919 c=4.850 alpha=90.00 beta=90.00 gamma=90.00
Element x y z (fractional)
Li (0.000, 0.000, 0.000)
Y (0.500, 0.500, 0.500)
Tl (0.000, 0.500, 0.500)
Tl (0.500, 0.000, 0.500)
Tc (0.500, 0.500, 0.000)



The following is a PBE calculation of crystalline SrPmPrLu at its relaxed geometry, from the Alexandria database.

Results
Energy   -3.7263 eV/atom
Formation enthalpy at 0 K   0.828 eV per formula unit

Unit cell a=5.933 b=5.933 c=5.933 alpha=60.00 beta=60.00 gamma=60.00
Element x y z (fractional)
Sr (0.000, 0.000, 0.000)
Pm (0.750, 0.750, 0.750)
Pr (0.250, 0.250, 0.250)
Lu (0.500, 0.500, 0.500)



The following is a PBE calculation of crystalline LiGaGe2O6 at its relaxed geometry, from the Alexandria database.

Results
Energy   -6.1752 eV/atom
ΔE_f (raw)   -1.78 eV/atom

Unit cell a=7.329 b=7.329 c=5.468 alpha=107.32 beta=107.32 gamma=88.83
Element x y z (fractional)
Li (0.168, 0.832, 0.750)
Li (0.832, 0.168, 0.250)
Ga (0.204, 0.796, 0.250)
Ga (0.796, 0.204, 0.750)
Ge (0.211, 0.382, 0.781)
Ge (0.382, 0.211, 0.281)
Ge (0.618, 0.789, 0.719)
Ge (0.789, 0.618, 0.219)
O (0.006, 0.221, 0.628)
O (0.159, 0.620, 0.914)
O (0.221, 0.006, 0.128)
O (0.306, 0.390, 0.521)
O (0.380, 0.841, 0.586)
O (0.390, 0.306, 0.021)
O (0.610, 0.694, 0.979)
O (0.620, 0.159, 0.414)
O (0.694, 0.610, 0.479)
O (0.779, 0.994, 0.872)
O (0.841, 0.380, 0.086)
O (0.994, 0.779, 0.372)



The following is a PBE calculation of crystalline DyInGa2 at its relaxed geometry, from the Alexandria database.

Results
Energy above the most stable polymorph in this dataset   66 kJ/mol of formula units
Energy   -3.6481 eV/atom
Formation enthalpy at 0 K   -1.198 eV per formula unit

Unit cell a=5.732 b=5.732 c=5.732 alpha=46.45 beta=46.45 gamma=46.45
Element x y z (fractional)
Dy (0.000, 0.000, 0.000)
In (0.500, 0.500, 0.500)
Ga (0.237, 0.237, 0.237)
Ga (0.763, 0.763, 0.763)



The following is a PBE calculation of crystalline AcLa5Pm2 at its relaxed geometry, from the Alexandria database.

Results
Energy above the most stable polymorph in this dataset   90 kJ/mol of formula units
Energy   -4.6502 eV/atom
Formation enthalpy at 0 K   1.045 eV per formula unit

Unit cell a=9.985 b=9.985 c=6.688 alpha=95.30 beta=95.30 gamma=64.58
Element x y z (fractional)
Ac (0.000, 0.500, 0.000)
Ac (0.500, 0.000, 0.500)
La (0.041, 0.959, 0.250)
La (0.066, 0.286, 0.487)
La (0.286, 0.066, 0.987)
La (0.321, 0.448, 0.363)
La (0.448, 0.321, 0.863)
La (0.552, 0.679, 0.137)
La (0.679, 0.552, 0.637)
La (0.714, 0.934, 0.013)
La (0.934, 0.714, 0.513)
La (0.959, 0.041, 0.750)
Pm (0.213, 0.691, 0.944)
Pm (0.309, 0.787, 0.556)
Pm (0.691, 0.213, 0.444)
Pm (0.787, 0.309, 0.056)



The following is a PBE calculation of crystalline Ag3AuBr at its relaxed geometry, from the Alexandria database.

Results
Energy above the most stable polymorph in this dataset   102 kJ/mol of formula units
Energy   -2.0316 eV/atom
ΔE_f (raw)   0.67 eV/atom

Unit cell a=5.179 b=5.179 c=5.179 alpha=90.00 beta=90.00 gamma=90.00
Element x y z (fractional)
Ag (0.000, 0.000, 0.500)
Ag (0.000, 0.500, 0.000)
Ag (0.500, 0.000, 0.000)
Au (0.500, 0.500, 0.500)
Br (0.000, 0.000, 0.000)



The following is a PBE calculation of crystalline LaSm3 at its relaxed geometry, from the Alexandria database.

Results
Energy   -4.6356 eV/atom
Formation enthalpy at 0 K   0.542 eV per formula unit

Unit cell a=5.819 b=5.819 c=5.819 alpha=60.00 beta=60.00 gamma=60.00
Element x y z (fractional)
La (0.000, 0.000, 0.000)
Sm (0.250, 0.250, 0.250)
Sm (0.500, 0.500, 0.500)
Sm (0.750, 0.750, 0.750)



The following is a PBE calculation of crystalline In3CuN at its relaxed geometry, from the Alexandria database.

Results
Energy above the most stable polymorph in this dataset   0 kJ/mol of formula units
Energy   -3.4799 eV/atom
ΔE_f (raw)   0.65 eV/atom

Unit cell a=4.685 b=4.685 c=4.685 alpha=90.00 beta=90.00 gamma=90.00
Element x y z (fractional)
In (0.000, 0.000, 0.500)
In (0.000, 0.500, 0.000)
In (0.500, 0.000, 0.000)
Cu (0.500, 0.500, 0.500)
N (0.000, 0.000, 0.000)



The following is a PBE calculation of crystalline Nd2InGaPt6 at its relaxed geometry, from the Alexandria database.

Results
Energy   -5.9046 eV/atom
Formation enthalpy at 0 K   -7.500 eV per formula unit

Unit cell a=5.496 b=6.702 c=6.871 alpha=79.67 beta=66.44 gamma=65.81
Element x y z (fractional)
Nd (0.043, 0.206, 0.209)
Nd (0.957, 0.794, 0.791)
In (0.500, 0.500, 0.000)
Ga (0.500, 0.000, 0.500)
Pt (0.011, 0.229, 0.752)
Pt (0.333, 0.413, 0.417)
Pt (0.490, 0.771, 0.250)
Pt (0.510, 0.229, 0.750)
Pt (0.667, 0.587, 0.583)
Pt (0.989, 0.771, 0.248)



The following is a PBE calculation of crystalline Sm3AlTl at its relaxed geometry, from the Alexandria database.

Results
Energy above the most stable polymorph in this dataset   62 kJ/mol of formula units
Energy   -4.1780 eV/atom
Formation enthalpy at 0 K   -0.624 eV per formula unit

Unit cell a=8.264 b=8.264 c=5.216 alpha=90.00 beta=90.00 gamma=120.00
Element x y z (fractional)
Sm (0.191, 0.382, 0.250)
Sm (0.191, 0.809, 0.250)
Sm (0.382, 0.191, 0.750)
Sm (0.618, 0.809, 0.250)
Sm (0.809, 0.191, 0.750)
Sm (0.809, 0.618, 0.750)
Al (0.000, 0.000, 0.000)
Al (0.000, 0.000, 0.500)
Tl (0.333, 0.667, 0.750)
Tl (0.667, 0.333, 0.250)



The following is a PBE calculation of crystalline CsCu2WCl8 at its relaxed geometry, from the Alexandria database.

Results
Energy   -3.8952 eV/atom
ΔE_f (raw)   -0.83 eV/atom

Unit cell a=11.896 b=11.896 c=11.896 alpha=29.89 beta=29.89 gamma=29.89
Element x y z (fractional)
Cs (0.000, 0.000, 0.000)
Cu (0.238, 0.238, 0.238)
Cu (0.762, 0.762, 0.762)
W (0.500, 0.500, 0.500)
Cl (0.157, 0.456, 0.752)
Cl (0.248, 0.544, 0.843)
Cl (0.302, 0.302, 0.302)
Cl (0.456, 0.752, 0.157)
Cl (0.544, 0.843, 0.248)
Cl (0.698, 0.698, 0.698)
Cl (0.752, 0.157, 0.456)
Cl (0.843, 0.248, 0.544)



The following is a PBE calculation of crystalline FeNiOs3 at its relaxed geometry, from the Alexandria database.

Results
Energy above the most stable polymorph in this dataset   0 kJ/mol of formula units
Energy   -7.6605 eV/atom
Formation enthalpy at 0 K   9.631 eV per formula unit

Unit cell a=4.366 b=4.366 c=4.366 alpha=90.00 beta=90.00 gamma=90.00
Element x y z (fractional)
Fe (0.000, 0.000, 0.000)
Ni (0.500, 0.500, 0.500)
Os (0.000, 0.000, 0.500)
Os (0.000, 0.500, 0.000)
Os (0.500, 0.000, 0.000)



The following is a PBE calculation of crystalline Pr8Ga3AsI4 at its relaxed geometry, from the Alexandria database.

Results
Energy   -4.5544 eV/atom
ΔE_f (raw)   -0.92 eV/atom

Unit cell a=9.191 b=9.191 c=9.191 alpha=57.36 beta=57.36 gamma=57.36
Element x y z (fractional)
Pr (0.234, 0.736, 0.736)
Pr (0.236, 0.236, 0.236)
Pr (0.264, 0.264, 0.766)
Pr (0.264, 0.766, 0.264)
Pr (0.736, 0.234, 0.736)
Pr (0.736, 0.736, 0.234)
Pr (0.764, 0.764, 0.764)
Pr (0.766, 0.264, 0.264)
Ga (0.000, 0.000, 0.500)
Ga (0.000, 0.500, 0.000)
Ga (0.500, 0.000, 0.000)
As (0.500, 0.500, 0.500)
I (0.000, 0.000, 0.000)
I (0.000, 0.500, 0.500)
I (0.500, 0.000, 0.500)
I (0.500, 0.500, 0.000)



The following is a PBE calculation of crystalline La2Ga4Au3 at its relaxed geometry, from the Alexandria database.

Results
Energy   -4.1462 eV/atom
Formation enthalpy at 0 K   -5.522 eV per formula unit

Unit cell a=8.491 b=8.491 c=7.876 alpha=90.00 beta=90.00 gamma=137.74
Element x y z (fractional)
La (0.111, 0.889, 0.911)
La (0.389, 0.611, 0.411)
La (0.611, 0.389, 0.589)
La (0.889, 0.111, 0.089)
Ga (0.177, 0.823, 0.518)
Ga (0.192, 0.308, 0.750)
Ga (0.308, 0.192, 0.250)
Ga (0.323, 0.677, 0.018)
Ga (0.677, 0.323, 0.982)
Ga (0.692, 0.808, 0.750)
Ga (0.808, 0.692, 0.250)
Ga (0.823, 0.177, 0.482)
Au (0.000, 0.000, 0.500)
Au (0.024, 0.476, 0.750)
Au (0.476, 0.024, 0.250)
Au (0.500, 0.500, 0.000)
Au (0.524, 0.976, 0.750)
Au (0.976, 0.524, 0.250)



The following is a PBE calculation of crystalline Cr2AgSe at its relaxed geometry, from the Alexandria database.

Results
Energy   -6.1103 eV/atom
ΔE_f (raw)   0.29 eV/atom

Unit cell a=8.779 b=8.779 c=8.779 alpha=19.25 beta=19.25 gamma=19.25
Element x y z (fractional)
Cr (0.000, 0.000, 0.000)
Cr (0.273, 0.273, 0.273)
Ag (0.517, 0.517, 0.517)
Se (0.738, 0.738, 0.738)



The following is a PBE calculation of crystalline Ba2Zn5Ag12 at its relaxed geometry, from the Alexandria database.

Results
Energy   -2.4488 eV/atom
Formation enthalpy at 0 K   -2.098 eV per formula unit

Unit cell a=7.340 b=7.340 c=7.340 alpha=83.43 beta=83.43 gamma=83.43
Element x y z (fractional)
Ba (0.148, 0.148, 0.148)
Ba (0.852, 0.852, 0.852)
Zn (0.000, 0.500, 0.500)
Zn (0.403, 0.403, 0.403)
Zn (0.500, 0.000, 0.500)
Zn (0.500, 0.500, 0.000)
Zn (0.597, 0.597, 0.597)
Ag (0.163, 0.163, 0.633)
Ag (0.163, 0.633, 0.163)
Ag (0.205, 0.500, 0.795)
Ag (0.205, 0.795, 0.500)
Ag (0.367, 0.837, 0.837)
Ag (0.500, 0.205, 0.795)
Ag (0.500, 0.795, 0.205)
Ag (0.633, 0.163, 0.163)
Ag (0.795, 0.205, 0.500)
Ag (0.795, 0.500, 0.205)
Ag (0.837, 0.367, 0.837)
Ag (0.837, 0.837, 0.367)



The following is a PBE calculation of crystalline SrMgIn2Co at its relaxed geometry, from the Alexandria database.

Results
Energy   -3.3352 eV/atom
Formation enthalpy at 0 K   -0.817 eV per formula unit

Unit cell a=5.014 b=5.014 c=4.953 alpha=90.00 beta=90.00 gamma=90.00
Element x y z (fractional)
Sr (0.000, 0.000, 0.000)
Mg (0.500, 0.500, 0.000)
In (0.000, 0.500, 0.500)
In (0.500, 0.000, 0.500)
Co (0.500, 0.500, 0.500)



The following is a PBE calculation of crystalline Cs2Hg16Pb at its relaxed geometry, from the Alexandria database.

Results
Energy   -0.6490 eV/atom
Formation enthalpy at 0 K   -2.088 eV per formula unit

Unit cell a=8.541 b=8.541 c=8.541 alpha=79.76 beta=79.76 gamma=79.76
Element x y z (fractional)
Cs (0.000, 0.000, 0.000)
Cs (0.328, 0.328, 0.328)
Hg (0.026, 0.026, 0.489)
Hg (0.026, 0.489, 0.026)
Hg (0.137, 0.669, 0.669)
Hg (0.304, 0.304, 0.794)
Hg (0.304, 0.794, 0.304)
Hg (0.363, 0.656, 0.947)
Hg (0.363, 0.947, 0.656)
Hg (0.489, 0.026, 0.026)
Hg (0.553, 0.553, 0.553)
Hg (0.656, 0.363, 0.947)
Hg (0.656, 0.947, 0.363)
Hg (0.669, 0.137, 0.669)
Hg (0.669, 0.669, 0.137)
Hg (0.794, 0.304, 0.304)
Hg (0.947, 0.363, 0.656)
Hg (0.947, 0.656, 0.363)
Pb (0.749, 0.749, 0.749)